1.
DFT (GGA-PBE) results for crystalline Th4ZrTl3 at its relaxed geometry.

Unit cell a=3.5488 b=5.7401 c=11.5481 alpha=90.00 beta=90.00 gamma=90.00
Closest atoms and distances in Å follow each position.
Fractional coordinates of all 8 atoms:
Tl (0.5000, 0.0000, 0.2470)  8 Th 3.36-3.42, 2 Tl 3.55
Tl (0.5000, 0.5000, 0.5000)  8 Th 3.37-3.40, 2 Tl 3.55
Tl (0.5000, 0.0000, 0.7530)  8 Th 3.36-3.42, 2 Tl 3.55
Zr (0.5000, 0.5000, 0.0000)  8 Th 3.37, 2 Zr 3.55
Th (0.0000, 0.0000, 0.5000)  8 Tl 3.37-3.42, 2 Th 3.55
Th (0.0000, 0.5000, 0.7516)  2 Zr 3.37, 6 Tl 3.37-3.40, 2 Th 3.55
Th (0.0000, 0.0000, 0.0000)  4 Tl 3.36, 4 Zr 3.37, 2 Th 3.55
Th (0.0000, 0.5000, 0.2484)  2 Zr 3.37, 6 Tl 3.37-3.40, 2 Th 3.55

Summary:
DFT formation energy	-0.019	eV per atom

2.
DFT (GGA-PBE) results for crystalline Zr2Tl2Cl at its relaxed geometry.

Unit cell a=4.1776 b=4.1776 c=7.9164 alpha=74.70 beta=74.70 gamma=90.00
Closest atoms and distances in Å follow each position.
Fractional coordinates of all 5 atoms:
Tl (0.7500, 0.2500, 0.5000)  4 Tl 2.95, 4 Zr 3.06
Tl (0.2500, 0.7500, 0.5000)  4 Tl 2.95, 4 Zr 3.06
Zr (0.4025, 0.4025, 0.1950)  1 Zr 2.86, 4 Tl 3.06
Zr (0.5975, 0.5975, 0.8050)  1 Zr 2.86, 4 Tl 3.06
Cl (0.0000, 0.0000, 0.0000)  8 Zr 3.28

Summary:
relative energy among the computed polymorphs	0.5759	eV per atom
formation energy from raw total energies	0.2810	eV per atom

3.
DFT (GGA-PBE) results for crystalline Ac2PmHo at its relaxed geometry.

Unit cell a=3.8185 b=3.8185 c=12.3615 alpha=81.12 beta=81.12 gamma=60.00
Closest atoms and distances in Å follow each position.
Fractional coordinates of all 4 atoms:
Ac (0.0822, 0.0822, 0.7533)  3 Ho 3.70, 3 Pm 3.76, 6 Ac 3.82
Ac (0.2512, 0.2512, 0.2465)  3 Ho 3.75, 3 Pm 3.82, 6 Ac 3.82
Pm (0.4991, 0.4991, 0.5028)  6 Ac 3.76-3.82, 6 Pm 3.82
Ho (0.6675, 0.6675, 0.9974)  6 Ac 3.70-3.75, 6 Ho 3.82

Summary:
relative energy among the computed polymorphs	0.0217	eV per atom
DFT formation energy	0.061	eV per atom

4.
DFT (GGA-PBE) results for crystalline Ni8Sb at its relaxed geometry.

Unit cell a=5.6934 b=5.6934 c=5.6934 alpha=95.87 beta=95.87 gamma=142.71
Closest atoms and distances in Å follow each position.
Fractional coordinates of all 9 atoms:
Ni (0.3276, 0.6724, 0.0000)  10 Ni 2.47-2.63, 2 Sb 2.60
Ni (0.6724, 0.3276, 0.0000)  10 Ni 2.47-2.63, 2 Sb 2.60
Ni (0.0000, 0.3402, 0.3402)  11 Ni 2.44-2.58, 1 Sb 2.60
Ni (0.6724, 0.6724, 0.3448)  10 Ni 2.47-2.63, 2 Sb 2.60
Ni (0.3402, 0.0000, 0.3402)  11 Ni 2.44-2.58, 1 Sb 2.60
Ni (0.3276, 0.3276, 0.6552)  10 Ni 2.47-2.63, 2 Sb 2.60
Ni (0.0000, 0.6598, 0.6598)  11 Ni 2.44-2.58, 1 Sb 2.60
Ni (0.6598, 0.0000, 0.6598)  11 Ni 2.44-2.58, 1 Sb 2.60
Sb (0.0000, 0.0000, 0.0000)  12 Ni 2.60

Summary:
formation energy from raw total energies	-0.0388	eV per atom

Question: What is the formula in the first record?
Answer: Th4ZrTl3